1.
Entry from the Alexandria database: a relaxed Na3LiCe2Se6 crystal (GGA-PBE).

a b c (Å): 7.255 7.255 7.288
angles (deg): 99.57 99.57 119.96
Fractional positions:
Li (0.000, 0.000, 0.000)
Se (0.924, 0.584, 0.772)
Se (0.076, 0.416, 0.228)
Se (0.584, 0.924, 0.772)
Se (0.736, 0.736, 0.229)
Se (0.264, 0.264, 0.771)
Se (0.416, 0.076, 0.228)
Na (0.500, 0.500, 0.500)
Na (0.836, 0.164, 0.500)
Na (0.164, 0.836, 0.500)
Ce (0.333, 0.667, 0.000)
Ce (0.667, 0.333, 0.000)

ΔE_f (raw), meV/atom: -1444

2.
Entry from the Alexandria database: a relaxed TiPb3F crystal (GGA-PBE).

a b c (Å): 5.396 5.396 5.396
angles (deg): 90.00 90.00 90.00
Fractional positions:
F (0.500, 0.500, 0.500)
Pb (0.000, 0.500, 0.000)
Pb (0.500, 0.000, 0.000)
Pb (0.000, 0.000, 0.500)
Ti (0.000, 0.000, 0.000)

Excess energy over the best structure of this formula in the dataset, meV/atom: 105
Density of states at the Fermi level, states/eV per atom: 0.880
ΔE_f (raw), meV/atom: -67

3.
Entry from the Alexandria database: a relaxed Be2PtF crystal (GGA-PBE).

a b c (Å): 4.064 2.707 4.101
angles (deg): 90.00 93.55 90.00
Fractional positions:
Be (0.400, 0.000, 0.411)
Be (0.814, 0.000, 0.995)
F (0.779, 0.000, 0.372)
Pt (0.291, 0.500, 0.883)

Excess energy over the best structure of this formula in the dataset, meV/atom: 316
Density of states at the Fermi level, states/eV per atom: 0.241
ΔE_f (raw), meV/atom: -1141

4.
Entry from the Alexandria database: a relaxed Li8SeN2 crystal (GGA-PBE).

a b c (Å): 4.831 4.835 7.251
angles (deg): 105.14 105.14 90.97
Fractional positions:
Li (0.811, 0.811, 0.174)
Li (0.433, 0.002, 0.416)
Li (0.999, 0.999, 0.587)
Li (0.540, 0.160, 0.816)
Li (0.002, 0.433, 0.416)
Li (0.578, 0.579, 0.588)
Li (0.159, 0.540, 0.816)
Li (0.419, 0.419, 0.215)
Se (0.050, 0.049, 0.978)
N (0.303, 0.303, 0.608)
N (0.707, 0.707, 0.384)

ΔE_f (raw), meV/atom: -540

5.
Entry from the Alexandria database: a relaxed TmThTl crystal (GGA-PBE).

a b c (Å): 3.630 3.630 7.274
angles (deg): 104.45 104.45 90.00
Fractional positions:
Tm (0.322, 0.322, 0.645)
Th (0.004, 0.004, 0.009)
Tl (0.673, 0.673, 0.347)

Excess energy over the best structure of this formula in the dataset, meV/atom: 47
Density of states at the Fermi level, states/eV per atom: 0.969
Calculated formation energy, meV/atom: -113

6.
Entry from the Alexandria database: a relaxed Er6MgAg crystal (GGA-PBE).

a b c (Å): 8.879 8.326 6.091
angles (deg): 46.78 43.20 57.78
Fractional positions:
Er (0.244, 0.025, 0.279)
Er (0.549, 0.244, 0.180)
Er (0.027, 0.452, 0.766)
Er (0.756, 0.975, 0.721)
Er (0.973, 0.548, 0.234)
Er (0.451, 0.756, 0.820)
Mg (0.500, 0.500, 0.500)
Ag (0.000, 0.000, 0.000)

Density of states at the Fermi level, states/eV per atom: 1.234
Calculated formation energy, meV/atom: 34

Computed E (eV per formula unit) in order:
-56.0; -21.2; -19.9; -41.4; -14.6; -31.6
Computed volume (Å³ per cell) in order:
313.4; 157.1; 45.0; 157.2; 89.7; 224.1